Tm2AlIn3Ni2 after structural relaxation, computed with PBE.

Geometry as POSCAR:
```
Tm2AlIn3Ni2
1.0
-1.6299 1.3480 -5.1303
0.1677 -2.4880 -4.9573
-6.4760 -2.9744 1.3401
In Tm Ni Al
3 2 2 1
Cartesian
-3.1462 -1.5131 -0.8583
-0.5111 -0.2997 -1.3343
-4.8393 -2.6243 -7.9061
-2.1740 -1.2005 -4.0307
-5.7151 -2.8892 -4.6789
-2.6117 -1.5378 -6.9614
-5.3819 -2.6095 -1.9384
-7.3735 -3.7838 -7.2820
```

total magnetization: 0.00 μB per formula unit
calculated density: 8.707 Mg/m³
VASP energy: -0.3291 Ry/atom

***

TmReB4 after structural relaxation, computed with PBE.

Geometry as POSCAR:
```
TmReB4
1.0
-2.0777 -1.5061 -1.7848
2.7221 0.9343 -1.2199
2.8686 -6.0509 1.7668
B Re Tm
4 1 1
Cartesian
0.2963 -2.3254 -1.1198
3.2167 -4.2974 -0.1182
1.6168 -5.1109 -0.3064
1.8962 -1.5119 -0.9315
1.4343 -3.0255 0.8834
0.0000 0.0000 0.0000
```

total magnetization: 0.00 μB per formula unit
energy above the lowest structure with this stoichiometry: 27.8 meV/atom
calculated density: 11.289 Mg/m³
VASP energy: -0.5575 Ry/atom

***

YCuSbAu after structural relaxation, computed with PBE.

Geometry as POSCAR:
```
YCuSbAu
1.0
0.0000 3.4878 3.4878
3.4878 0.0000 3.4878
3.4878 3.4878 0.0000
Y Sb Au Cu
1 1 1 1
Cartesian
1.7439 1.7439 1.7439
0.0000 0.0000 0.0000
3.4878 3.4878 3.4878
5.2316 5.2316 5.2316
```

total magnetization: 0.00 μB per formula unit
energy above the lowest structure with this stoichiometry: 22.7 meV/atom
calculated density: 9.221 Mg/m³
VASP energy: -0.3520 Ry/atom

***

BaAg2GeSe3S after structural relaxation, computed with PBE.

Geometry as POSCAR:
```
BaAg2GeSe3S
1.0
6.5571 0.0000 0.0000
-1.2222 6.4583 0.0000
-2.8599 -3.0480 5.1123
Ag Ge Se S Ba
2 1 3 1 1
Cartesian
3.5307 0.4848 2.6145
-1.0153 2.9453 2.5151
-0.2639 0.1916 5.1060
3.2784 0.9430 0.0533
0.7392 1.1612 3.1528
3.4460 4.3484 1.9485
-2.5072 0.3478 5.0590
-1.1975 6.4480 0.0000
```

energy above the lowest structure with this stoichiometry: 0.0 meV/atom
calculated density: 5.328 Mg/m³
VASP energy: -0.2999 Ry/atom

***

Which of these has the highest calculated density?
TmReB4